Entry 1:
Below is a geometry-optimized Ac2GeSe structure, with properties calculated at the PBE-GGA level.

The calculation puts the uncorrected formation energy at -1080 meV per atom. As for the space group: Fm-3m (225). For the magnetization, the calculation gives 0.0 μB/f.u. The electronic total energy comes out at -5.1593 eV per atom.

```
Ac2GeSe
1.0
-3.330 1.426 -4.154
-3.931 -3.470 -1.697
-5.300 1.145 0.986
Se Ge Ac
1 1 2
direct
0.000 0.000 0.000
0.500 0.500 0.500
0.750 0.750 0.750
0.250 0.250 0.250
```

***

Entry 2:
Below is a geometry-optimized TbYIn structure, with properties calculated at the PBE-GGA level.

As for the space group: I4mm (107). For the magnetization, the calculation gives 0.7 μB/f.u. The electronic total energy comes out at -4.3267 eV per atom.

```
TbYIn
1.0
3.359 0.000 0.000
0.000 3.359 0.000
-1.680 -1.680 8.699
Y Tb In
1 1 1
direct
0.957 0.957 0.914
0.759 0.759 0.519
0.133 0.133 0.267
```

***

Entry 3:
Below is a geometry-optimized Fe2Ni2Ru structure, with properties calculated at the PBE-GGA level.

As for the space group: P4/mbm (127). For the magnetization, the calculation gives 7.2 μB/f.u. The electronic total energy comes out at -7.3315 eV per atom.

```
Fe2Ni2Ru
1.0
6.937 0.000 0.000
0.000 6.937 0.000
0.000 0.000 2.539
Ni Ru Fe
4 2 4
direct
0.325 0.175 0.500
0.825 0.325 0.500
0.175 0.675 0.500
0.675 0.825 0.500
0.500 0.500 0.000
0.000 0.000 0.000
0.622 0.122 0.000
0.378 0.878 0.000
0.878 0.622 0.000
0.122 0.378 0.000
```

***

Entry 4:
Below is a geometry-optimized La3Sb2I2 structure, with properties calculated at the PBE-GGA level.

The calculation puts the uncorrected formation energy at -1255 meV per atom. As for the space group: C2/m (12). For the magnetization, the calculation gives 0.0 μB/f.u. The electronic total energy comes out at -4.9871 eV per atom.

```
La3Sb2I2
1.0
-1.845 -2.421 -3.411
7.282 -0.609 -3.506
1.095 -5.021 6.034
La Sb I
3 2 2
direct
0.247 0.772 0.493
0.753 0.228 0.507
0.000 0.000 0.000
0.378 0.126 0.756
0.622 0.874 0.244
0.875 0.619 0.751
0.125 0.381 0.249
```

***

Entry 5:
Below is a geometry-optimized PmHoEr2 structure, with properties calculated at the PBE-GGA level.

As for the space group: P4/mmm (123). For the magnetization, the calculation gives 0.0 μB/f.u. The electronic total energy comes out at -4.5907 eV per atom.

```
PmHoEr2
1.0
-0.434 -4.986 -0.037
4.852 -0.431 1.206
-1.205 0.069 4.871
Pm Ho Er
1 1 2
direct
0.500 0.000 0.000
0.500 0.500 0.500
0.000 0.500 0.000
0.000 0.000 0.500
```

***

Entry 6:
Below is a geometry-optimized K2PtPb2 structure, with properties calculated at the PBE-GGA level.

As for the space group: I4/mmm (139). For the magnetization, the calculation gives 0.0 μB/f.u. The electronic total energy comes out at -2.6690 eV per atom.

```
K2PtPb2
1.0
4.180 0.000 0.000
0.000 4.180 0.000
2.090 2.090 8.344
Pt Pb K
1 2 2
direct
0.000 0.000 0.000
0.415 0.415 0.170
0.585 0.585 0.830
0.250 0.750 0.500
0.750 0.250 0.500
```

***

Entry 7:
Below is a geometry-optimized RbGeIr2 structure, with properties calculated at the PBE-GGA level.

As for the space group: I4_1/amd (141). For the magnetization, the calculation gives 0.0 μB/f.u. The electronic total energy comes out at -5.3722 eV per atom.

```
RbGeIr2
1.0
-1.438 4.461 1.912
-0.748 -2.174 4.510
6.901 2.808 5.339
Rb Ge Ir
2 2 4
direct
0.750 0.250 0.500
0.000 0.000 0.000
0.500 0.500 0.000
0.250 0.750 0.500
0.375 0.125 0.250
0.875 0.625 0.750
0.375 0.625 0.250
0.375 0.625 0.750
```

***

Entry 8:
Below is a geometry-optimized RbPaVN3 structure, with properties calculated at the PBE-GGA level.

The calculation puts the uncorrected formation energy at -992 meV per atom. As for the space group: C2/m (12). For the magnetization, the calculation gives 0.0 μB/f.u. The electronic total energy comes out at -8.4188 eV per atom.

```
RbPaVN3
1.0
3.582 0.000 0.000
-1.791 7.995 0.125
0.000 -2.205 7.530
N Pa V Rb
6 2 2 2
direct
0.136 0.271 0.716
0.480 0.960 0.685
0.805 0.610 0.610
0.195 0.390 0.390
0.520 0.040 0.315
0.864 0.729 0.284
0.659 0.317 0.531
0.341 0.683 0.469
0.019 0.038 0.667
0.981 0.962 0.333
0.639 0.278 0.053
0.361 0.722 0.947
```

***

Entry 9:
Below is a geometry-optimized Ca2SbHRh structure, with properties calculated at the PBE-GGA level.

As for the space group: P4/mmm (123). For the magnetization, the calculation gives 0.0 μB/f.u. The electronic total energy comes out at -4.3707 eV per atom.

```
Ca2SbHRh
1.0
4.802 0.000 0.000
0.000 4.802 0.000
0.000 0.000 4.109
Sb Ca Rh H
1 2 1 1
direct
0.500 0.500 0.500
0.500 0.000 0.000
0.000 0.500 0.000
0.000 0.000 0.500
0.000 0.000 0.000
```

***

Entry 10:
Below is a geometry-optimized LiZrSe structure, with properties calculated at the PBE-GGA level.

The calculation puts the uncorrected formation energy at -591 meV per atom. As for the space group: P-6m2 (187). For the magnetization, the calculation gives 0.0 μB/f.u. The electronic total energy comes out at -5.2399 eV per atom.

```
LiZrSe
1.0
4.041 0.000 0.000
-2.020 3.499 0.000
0.000 0.000 3.548
Zr Se Li
1 1 1
direct
0.333 0.667 0.666
0.667 0.333 0.166
0.000 0.000 0.167
```

***

Entry 11:
Below is a geometry-optimized Ni3BiCl structure, with properties calculated at the PBE-GGA level.

The calculation puts the uncorrected formation energy at 1127 meV per atom. As for the space group: Pm-3m (221). For the magnetization, the calculation gives 0.0 μB/f.u. The electronic total energy comes out at -3.4873 eV per atom.

```
Ni3BiCl
1.0
-3.178 3.698 0.391
-3.377 -3.085 1.731
1.555 0.854 4.558
Cl Ni Bi
1 3 1
direct
0.500 0.500 0.500
0.000 0.000 0.500
0.500 0.000 0.000
0.000 0.500 0.000
0.000 0.000 0.000
```

***

Entry 12:
Below is a geometry-optimized Y2ReO6 structure, with properties calculated at the PBE-GGA level.

The calculation puts the uncorrected formation energy at -2620 meV per atom. As for the space group: P2_1/c (14). For the magnetization, the calculation gives 1.0 μB/f.u. The electronic total energy comes out at -8.7446 eV per atom.

```
Y2ReO6
1.0
5.462 0.000 -0.084
0.000 5.740 0.000
-0.793 0.000 7.953
O Y Re
12 4 2
direct
0.667 0.414 0.217
0.640 0.233 0.901
0.360 0.767 0.099
0.167 0.086 0.717
0.709 0.175 0.553
0.140 0.267 0.401
0.860 0.733 0.599
0.209 0.325 0.053
0.291 0.825 0.447
0.333 0.586 0.783
0.791 0.675 0.947
0.833 0.914 0.283
0.040 0.584 0.231
0.540 0.916 0.731
0.460 0.084 0.269
0.960 0.416 0.769
0.500 0.500 0.000
0.000 0.000 0.500
```